Entry 1:
The following is a DFT calculation (PBE) of MgPCl2 after structural relaxation.

Properties
calculated density: 1.9 g/cm3
crystal system: orthorhombic
energy relative to the elements, uncorrected: -0.445 eV per atom

a b c (Å): 3.2870 3.2870 11.2983
angles (deg): 90.00 90.00 115.03
Site moments in Bohr magnetons follow the coordinates.
Sites, in units of the cell vectors:
Cl: 0.0000 0.0000 0.3927  0.00
Cl: 0.0000 0.0000 0.1073  0.00
P: 0.5000 0.5000 0.7500  0.46
Mg: 0.5000 0.5000 0.2500  0.00

Entry 2:
The following is a DFT calculation (PBE) of Mg2PCl after structural relaxation.

Properties
calculated density: 2.3 g/cm3
crystal system: monoclinic
energy relative to the elements, uncorrected: -1.002 eV per atom

a b c (Å): 3.8932 3.8932 6.6510
angles (deg): 73.12 73.12 60.09
Sites, in units of the cell vectors:
P: 0.7500 0.7500 0.7500
Cl: 0.2500 0.2500 0.2500
Mg: 0.0196 0.0196 0.9433
Mg: 0.4804 0.4804 0.5567

Entry 3:
The following is a DFT calculation (PBE) of MgPCl2 after structural relaxation.

Properties
calculated density: 2.7 g/cm3
crystal system: orthorhombic
energy relative to the elements, uncorrected: -0.296 eV per atom

a b c (Å): 3.2582 5.6993 4.1529
angles (deg): 90.00 90.00 90.00
Sites, in units of the cell vectors:
Cl: 0.0000 0.0000 0.0000
Cl: 0.5000 0.5000 0.0000
P: 0.0000 0.5000 0.5000
Mg: 0.5000 0.0000 0.5000

Entry 4:
The following is a DFT calculation (PBE) of MgPCl2 after structural relaxation.

Properties
calculated density: 2.4 g/cm3
crystal system: trigonal
energy relative to the elements, uncorrected: 0.103 eV per atom

a b c (Å): 9.2225 9.2225 9.2225
angles (deg): 20.69 20.69 20.69
Sites, in units of the cell vectors:
P: 0.5000 0.5000 0.5000
Cl: 0.9113 0.9113 0.9113
Cl: 0.0887 0.0887 0.0887
Mg: 0.0000 0.0000 0.0000

Entry 5:
The following is a DFT calculation (PBE) of Mg2PCl after structural relaxation.

Properties
calculated density: 1.9 g/cm3
crystal system: tetragonal
energy relative to the elements, uncorrected: -0.937 eV per atom

a b c (Å): 5.7814 5.7814 7.3630
angles (deg): 66.88 66.88 90.00
Sites, in units of the cell vectors:
P: 0.5000 0.5000 0.0000
P: 0.2500 0.7500 0.5000
Mg: 0.3750 0.4105 0.7500
Mg: 0.1605 0.6250 0.2500
Mg: 0.8750 0.8395 0.7500
Mg: 0.5895 0.1250 0.2500
Cl: 0.7500 0.2500 0.5000
Cl: 0.0000 0.0000 0.0000

Entry 6:
The following is a DFT calculation (PBE) of Mg2PCl after structural relaxation.

Properties
calculated density: 2.1 g/cm3
crystal system: orthorhombic
energy relative to the elements, uncorrected: -0.743 eV per atom

a b c (Å): 7.4277 7.4277 7.4277
angles (deg): 152.88 151.11 40.04
Sites, in units of the cell vectors:
Mg: 0.9998 0.9998 0.0000
Mg: 0.6803 0.1803 0.5000
P: 0.5439 0.5439 0.0000
Cl: 0.2760 0.7760 0.5000

Entry 7:
The following is a DFT calculation (PBE) of MgPCl2 after structural relaxation.

Properties
calculated density: 2.6 g/cm3
crystal system: cubic
energy relative to the elements, uncorrected: 0.056 eV per atom

a b c (Å): 4.8742 4.8742 4.8742
angles (deg): 60.00 60.00 60.00
Site moments in Bohr magnetons follow the coordinates.
Sites, in units of the cell vectors:
Cl: 0.2500 0.2500 0.2500  0.15
Cl: 0.7500 0.7500 0.7500  0.15
P: 0.5000 0.5000 0.5000  0.85
Mg: 0.0000 0.0000 0.0000  0.01

Entry 8:
The following is a DFT calculation (PBE) of Mg2PCl after structural relaxation.

Properties
calculated density: 2.4 g/cm3
crystal system: cubic
energy relative to the elements, uncorrected: 0.064 eV per atom

a b c (Å): 4.8226 4.8226 4.8226
angles (deg): 60.00 60.00 60.00
Sites, in units of the cell vectors:
Mg: 0.0000 0.0000 0.0000
Mg: 0.2500 0.2500 0.2500
Cl: 0.5000 0.5000 0.5000
P: 0.7500 0.7500 0.7500

| no. | raw total energy (eV per atom) |
| --- | --- |
| 1 | -3.119 |
| 2 | -3.613 |
| 3 | -2.970 |
| 4 | -2.572 |
| 5 | -3.549 |
| 6 | -3.355 |
| 7 | -2.618 |
| 8 | -2.547 |